(1)
Material: MnCr2Fe
Method: DFT, SCAN
State: single point on PBEsol structure

Geometry as POSCAR:
```
MnCr2Fe
1.0
3.4045 0.0000 0.0000
0.0000 3.5409 0.0000
0.0000 0.0000 3.5409
Cr Fe Mn
2 1 1
direct
0.0000 0.5000 0.0000
0.0000 0.0000 0.5000
0.5000 0.5000 0.5000
0.5000 0.0000 0.0000
```

crystal system: tetragonal
D(E_F): 1.16 states/eV per atom
space group: No. 123
E above lowest polymorph: 22.6 kJ per mole of atoms
mass density: 8.4 g/cm3
total moment: 1.1 μB per formula unit
E_form: 0.21 eV/atom

=====

(2)
Material: Mn2Cr3FeO8
Method: DFT, SCAN
State: single point on PBEsol structure

Geometry as POSCAR:
```
Mn2Cr3FeO8
1.0
5.8360 -0.0451 -0.0319
2.8673 5.0833 -0.0319
2.8673 1.6598 4.8047
O Mn Cr Fe
8 2 3 1
direct
0.7887 0.2351 0.2351
0.7628 0.7628 0.7628
0.2372 0.2372 0.2372
0.7649 0.7649 0.2113
0.2113 0.7649 0.7649
0.7649 0.2113 0.7649
0.2351 0.7887 0.2351
0.2351 0.2351 0.7887
0.3766 0.3766 0.3766
0.6234 0.6234 0.6234
0.0000 0.5000 0.0000
0.5000 0.0000 0.0000
0.0000 0.0000 0.5000
0.0000 0.0000 0.0000
```

crystal system: trigonal
D(E_F): 0.56 states/eV per atom
formation energy (no corrections): -2.25 eV/atom
space group: No. 166
mass density: 5.2 g/cm3
total moment: 20.0 μB per formula unit

=====

(3)
Material: MnCrFe2Se
Method: DFT, SCAN
State: single point on PBEsol structure

Geometry as POSCAR:
```
MnCrFe2Se
1.0
-2.8580 -0.2896 3.0360
-1.9521 -3.0230 -2.1260
2.4734 -3.0313 2.0392
Cr Fe Se Mn
1 2 1 1
direct
0.5000 0.5000 0.5000
0.5000 0.0000 0.0000
0.0000 0.5000 0.0000
0.0000 0.0000 0.5000
0.0000 0.0000 0.0000
```

crystal system: tetragonal
D(E_F): 0.89 states/eV per atom
formation energy (no corrections): 0.98 eV/atom
space group: No. 123
mass density: 6.4 g/cm3
total moment: 6.5 μB per formula unit

=====

(4)
Material: TiMn2CrFe
Method: DFT, SCAN
State: single point on PBEsol structure

Geometry as POSCAR:
```
TiMn2CrFe
1.0
-0.8403 3.4126 -2.6117
-3.1728 1.3021 2.7223
2.7697 2.3077 2.1243
Cr Mn Fe Ti
1 2 1 1
direct
0.5000 0.5000 0.5000
0.5000 0.0000 0.0000
0.0000 0.5000 0.0000
0.0000 0.0000 0.5000
0.0000 0.0000 0.0000
```

crystal system: tetragonal
D(E_F): 0.68 states/eV per atom
space group: No. 123
mass density: 5.5 g/cm3
total moment: 12.2 μB per formula unit
E_form: 1.07 eV/atom

=====

(5)
Material: Cr2FeMo
Method: DFT, SCAN
State: single point on PBEsol structure

Geometry as POSCAR:
```
Cr2FeMo
1.0
2.6658 0.0000 0.0000
0.0000 4.2535 0.0012
-1.3329 -1.0537 4.2496
Fe Mo Cr
1 1 2
direct
0.5000 0.0000 0.0000
0.0000 0.5000 0.0000
0.7695 0.7845 0.5389
0.2305 0.2155 0.4611
```

crystal system: monoclinic
D(E_F): 1.13 states/eV per atom
space group: No. 12
E above lowest polymorph: 21.5 kJ per mole of atoms
mass density: 8.8 g/cm3
total moment: 1.4 μB per formula unit
E_form: 0.36 eV/atom

=====

(6)
Material: Cr2FeMo
Method: DFT, SCAN
State: single point on PBEsol structure

Geometry as POSCAR:
```
Cr2FeMo
1.0
-0.1361 1.5931 -3.7656
-0.1532 -2.4665 -3.2603
-3.4339 -0.2605 -2.2084
Mo Cr Fe
1 2 1
direct
0.5000 0.5000 0.5000
0.7500 0.7500 0.7500
0.2500 0.2500 0.2500
0.0000 0.0000 0.0000
```

crystal system: cubic
D(E_F): 0.76 states/eV per atom
space group: No. 225
E above lowest polymorph: 0.9 kJ per mole of atoms
mass density: 8.8 g/cm3
total moment: 1.8 μB per formula unit
E_form: 0.14 eV/atom